[1]
Re2Rh2Br (PBE, relaxed); space group = No. 139; total moment = 0.00 μB/f.u.; N(E_F) = 3.93 states/eV/f.u.; ΔE to the lowest computed polymorph = 0.000 eV/atom; formation energy without anion corrections = 49 kJ per mole of atoms; total energy = -7.75 eV/atom
1.0
-1.7975 1.7975 7.0407
1.7975 -1.7975 7.0407
1.7975 1.7975 -7.0407
Re Rh Br
2 2 1
direct
0.2500 0.7500 0.5000
0.7500 0.2500 0.5000
0.1136 0.1136 0.0000
0.8864 0.8864 0.0000
0.5000 0.5000 0.0000

=====

[2]
Re2RhBr (PBE, relaxed); space group = No. 160; total moment = 0.00 μB/f.u.; N(E_F) = 3.90 states/eV/f.u.; ΔE to the lowest computed polymorph = 0.075 eV/atom; formation energy without anion corrections = 48 kJ per mole of atoms; total energy = -7.98 eV/atom
1.0
1.4432 0.8332 8.8016
-1.4432 0.8332 8.8016
0.0000 -1.6665 8.8016
Re Rh Br
2 1 1
direct
0.0000 0.0000 0.0000
0.2533 0.2533 0.2533
0.5058 0.5058 0.5058
0.7513 0.7513 0.7513

=====

[3]
ReRuRh2Br (PBE, relaxed); space group = No. 123; total moment = 2.63 μB/f.u.; N(E_F) = 6.57 states/eV/f.u.; ΔE to the lowest computed polymorph = 0.304 eV/atom; formation energy without anion corrections = 167 kJ per mole of atoms; total energy = -5.89 eV/atom
1.0
4.7210 0.0000 0.0000
0.0000 4.7210 0.0000
0.0000 0.0000 4.8536
Re Ru Rh Br
1 1 2 1
direct
0.0000 0.0000 0.0000
0.5000 0.5000 0.5000
0.0000 0.5000 0.0000
0.5000 0.0000 0.0000
0.0000 0.0000 0.5000

=====

[4]
ReRuRh2Br (PBE, relaxed); space group = No. 123; total moment = 0.88 μB/f.u.; N(E_F) = 6.81 states/eV/f.u.; ΔE to the lowest computed polymorph = 0.000 eV/atom; formation energy without anion corrections = 138 kJ per mole of atoms; total energy = -6.19 eV/atom
1.0
4.7639 0.0000 0.0000
0.0000 4.7639 0.0000
0.0000 0.0000 4.7458
Re Ru Rh Br
1 1 2 1
direct
0.0000 0.0000 0.0000
0.0000 0.0000 0.5000
0.0000 0.5000 0.0000
0.5000 0.0000 0.0000
0.5000 0.5000 0.5000

=====

[5]
ReRhSeBr2 (PBE, relaxed); space group = No. 123; total moment = 0.44 μB/f.u.; N(E_F) = 14.97 states/eV/f.u.; ΔE to the lowest computed polymorph = 0.000 eV/atom; formation energy without anion corrections = 104 kJ per mole of atoms; total energy = -4.25 eV/atom
1.0
5.1466 0.0000 0.0000
0.0000 5.1466 0.0000
0.0000 0.0000 4.7076
Re Rh Se Br
1 1 1 2
direct
0.0000 0.0000 0.0000
0.5000 0.5000 0.5000
0.0000 0.0000 0.5000
0.0000 0.5000 0.0000
0.5000 0.0000 0.0000

=====

[6]
ReRhSe2Br (PBE, relaxed); space group = No. 123; total moment = 1.70 μB/f.u.; N(E_F) = 6.31 states/eV/f.u.; ΔE to the lowest computed polymorph = 0.000 eV/atom; formation energy without anion corrections = 92 kJ per mole of atoms; total energy = -4.73 eV/atom
1.0
4.7562 0.0000 0.0000
0.0000 4.7562 0.0000
0.0000 0.0000 5.4082
Re Rh Se Br
1 1 2 1
direct
0.0000 0.0000 0.0000
0.5000 0.5000 0.5000
0.0000 0.5000 0.0000
0.5000 0.0000 0.0000
0.0000 0.0000 0.5000

=====

[7]
ReSnRhBr2 (PBE, relaxed); space group = No. 123; total moment = 1.31 μB/f.u.; N(E_F) = 9.71 states/eV/f.u.; formation energy without anion corrections = 116 kJ per mole of atoms; total energy = -4.23 eV/atom
1.0
4.8582 0.0000 0.0000
0.0000 4.8582 0.0000
0.0000 0.0000 5.5133
Re Sn Rh Br
1 1 1 2
direct
0.0000 0.0000 0.0000
0.0000 0.0000 0.5000
0.5000 0.5000 0.5000
0.0000 0.5000 0.0000
0.5000 0.0000 0.0000

=====

[8]
ReSn2RhBr (PBE, relaxed); space group = No. 123; total moment = 0.00 μB/f.u.; N(E_F) = 4.91 states/eV/f.u.; formation energy without anion corrections = 107 kJ per mole of atoms; total energy = -4.79 eV/atom
1.0
5.2449 0.0000 0.0000
0.0000 5.2449 0.0000
0.0000 0.0000 4.7392
Re Sn Rh Br
1 2 1 1
direct
0.0000 0.0000 0.0000
0.0000 0.5000 0.0000
0.5000 0.0000 0.0000
0.5000 0.5000 0.5000
0.0000 0.0000 0.5000

=====

[9]
TlReRhBr2 (PBE, relaxed); space group = No. 123; total moment = 4.90 μB/f.u.; N(E_F) = 8.28 states/eV/f.u.; formation energy without anion corrections = 169 kJ per mole of atoms; total energy = -3.35 eV/atom
1.0
5.7115 0.0000 0.0000
0.0000 5.7115 0.0000
0.0000 0.0000 5.2073
Tl Re Rh Br
1 1 1 2
direct
0.0000 0.0000 0.0000
0.5000 0.5000 0.5000
0.0000 0.0000 0.5000
0.0000 0.5000 0.0000
0.5000 0.0000 0.0000

=====

[10]
VRe2RhBr (PBE, relaxed); space group = No. 123; total moment = 0.00 μB/f.u.; N(E_F) = 10.36 states/eV/f.u.; formation energy without anion corrections = 199 kJ per mole of atoms; total energy = -6.55 eV/atom
1.0
4.5410 0.0000 0.0000
0.0000 4.5410 0.0000
0.0000 0.0000 4.4747
V Re Rh Br
1 2 1 1
direct
0.0000 0.0000 0.0000
0.0000 0.5000 0.5000
0.5000 0.0000 0.5000
0.5000 0.5000 0.0000
0.5000 0.5000 0.5000

=====

[11]
Re2RuBr (PBE, relaxed); space group = No. 123; total moment = 0.00 μB/f.u.; N(E_F) = 4.03 states/eV/f.u.; ΔE to the lowest computed polymorph = 0.555 eV/atom; formation energy without anion corrections = 110 kJ per mole of atoms; total energy = -7.82 eV/atom
1.0
4.6050 0.0000 0.0000
0.0000 4.6050 0.0000
0.0000 0.0000 2.8920
Re Ru Br
2 1 1
direct
0.0000 0.5000 0.0000
0.5000 0.0000 0.0000
0.0000 0.0000 0.5000
0.5000 0.5000 0.5000

=====

[12]
Re2RuBr (PBE, relaxed); space group = No. 6; total moment = 0.00 μB/f.u.; N(E_F) = 4.20 states/eV/f.u.; ΔE to the lowest computed polymorph = 0.243 eV/atom; formation energy without anion corrections = 80 kJ per mole of atoms; total energy = -8.13 eV/atom
1.0
2.8733 0.0000 0.0000
0.0000 3.9989 0.0000
-1.4330 0.0000 5.5047
Re Ru Br
2 1 1
direct
0.0000 0.0000 0.0000
0.3792 0.5000 0.7606
0.6108 0.5000 0.2234
0.2286 0.0000 0.4549

=====

[13]
Re2RuBr (PBE, relaxed); space group = No. 35; total moment = 0.16 μB/f.u.; N(E_F) = 4.95 states/eV/f.u.; ΔE to the lowest computed polymorph = 0.274 eV/atom; formation energy without anion corrections = 83 kJ per mole of atoms; total energy = -8.10 eV/atom
1.0
1.4294 -2.3972 0.0000
1.4294 2.3972 0.0000
0.0000 0.0000 9.7490
Re Ru Br
2 1 1
direct
0.0000 0.0000 0.0000
0.5000 0.5000 0.2261
0.0000 0.0000 0.4504
0.5000 0.5000 0.7043

=====

[14]
Re2RuBr (PBE, relaxed); space group = No. 123; total moment = 0.00 μB/f.u.; N(E_F) = 3.44 states/eV/f.u.; ΔE to the lowest computed polymorph = 0.318 eV/atom; formation energy without anion corrections = 87 kJ per mole of atoms; total energy = -8.06 eV/atom
1.0
2.8347 0.0000 0.0000
0.0000 2.8347 0.0000
0.0000 0.0000 7.8042
Re Ru Br
2 1 1
direct
0.0000 0.0000 0.2353
0.0000 0.0000 0.7647
0.5000 0.5000 0.0000
0.5000 0.5000 0.5000

=====

[15]
Re2RuBr (PBE, relaxed); space group = No. 99; total moment = 0.00 μB/f.u.; N(E_F) = 3.66 states/eV/f.u.; ΔE to the lowest computed polymorph = 0.060 eV/atom; formation energy without anion corrections = 62 kJ per mole of atoms; total energy = -8.32 eV/atom
1.0
2.9301 0.0000 0.0000
0.0000 2.9301 0.0000
0.0000 0.0000 7.3459
Re Ru Br
2 1 1
direct
0.0000 0.0000 0.0000
0.5000 0.5000 0.2311
0.0000 0.0000 0.4697
0.5000 0.5000 0.7343

=====

[16]
Re2RuBr (PBE, relaxed); space group = No. 12; total moment = 0.00 μB/f.u.; N(E_F) = 3.24 states/eV/f.u.; ΔE to the lowest computed polymorph = 0.237 eV/atom; formation energy without anion corrections = 79 kJ per mole of atoms; total energy = -8.14 eV/atom
1.0
5.0740 -1.4649 0.0000
5.0740 1.4649 0.0000
-0.2224 0.0000 4.3536
Re Ru Br
2 1 1
direct
0.2154 0.2154 0.2201
0.7846 0.7846 0.7799
0.5000 0.5000 0.0000
0.0000 0.0000 0.5000

=====

[17]
Re2RuBr (PBE, relaxed); space group = No. 160; total moment = 0.00 μB/f.u.; N(E_F) = 3.79 states/eV/f.u.; ΔE to the lowest computed polymorph = 0.000 eV/atom; formation energy without anion corrections = 56 kJ per mole of atoms; total energy = -8.38 eV/atom
1.0
1.4390 0.8308 8.7183
-1.4390 0.8308 8.7183
0.0000 -1.6616 8.7183
Re Ru Br
2 1 1
direct
0.0000 0.0000 0.0000
0.2511 0.2511 0.2511
0.5040 0.5040 0.5040
0.7515 0.7515 0.7515

=====

[18]
Re2RuBr (PBE, relaxed); space group = No. 12; total moment = 0.00 μB/f.u.; N(E_F) = 5.05 states/eV/f.u.; ΔE to the lowest computed polymorph = 0.646 eV/atom; formation energy without anion corrections = 119 kJ per mole of atoms; total energy = -7.73 eV/atom
1.0
2.6249 -4.4084 0.0000
2.6249 4.4084 0.0000
-1.0364 0.0000 2.7236
Re Ru Br
2 1 1
direct
0.0000 0.5000 0.0000
0.5000 0.0000 0.0000
0.0000 0.0000 0.5000
0.5000 0.5000 0.5000

=====

[19]
ReRu2Br2 (PBE, relaxed); space group = No. 139; total moment = 2.23 μB/f.u.; N(E_F) = 5.50 states/eV/f.u.; formation energy without anion corrections = 144 kJ per mole of atoms; total energy = -5.37 eV/atom
1.0
-1.9925 1.9925 5.8636
1.9925 -1.9925 5.8636
1.9925 1.9925 -5.8636
Re Ru Br
1 2 2
direct
0.0000 0.0000 0.0000
0.3995 0.3995 0.0000
0.6005 0.6005 0.0000
0.2500 0.7500 0.5000
0.7500 0.2500 0.5000

=====

[20]
Re2RuBr (PBE, relaxed); space group = No. 47; total moment = 0.00 μB/f.u.; N(E_F) = 3.48 states/eV/f.u.; ΔE to the lowest computed polymorph = 0.383 eV/atom; formation energy without anion corrections = 93 kJ per mole of atoms; total energy = -7.99 eV/atom
1.0
2.7944 0.0000 0.0000
0.0000 3.7404 0.0000
0.0000 0.0000 7.1861
Re Ru Br
2 1 1
direct
0.0000 0.0000 0.1723
0.0000 0.0000 0.8277
0.5000 0.5000 0.0000
0.5000 0.5000 0.5000